[1]
Below is a relaxed MgCdAgSn crystal, with properties calculated at the PBE level.

```
MgCdAgSn
1.0
0.0000 3.5355 3.5355
3.5355 0.0000 3.5355
3.5355 3.5355 0.0000
Mg Cd Ag Sn
1 1 1 1
direct
0.0000 0.0000 0.0000
0.5000 0.5000 0.5000
0.2500 0.2500 0.2500
0.7500 0.7500 0.7500
```

Total magnetic moment ... 0.0 μB/f.u.
Formation enthalpy at 0 K ... 0.01 eV/atom

=====

[2]
Below is a relaxed MgCuPd3 crystal, with properties calculated at the PBE level.

```
MgCuPd3
1.0
4.6054 0.0000 0.0000
0.0000 4.6054 0.0000
0.0000 0.0000 4.6054
Mg Cu Pd
1 1 3
direct
0.0000 0.0000 0.0000
0.5000 0.5000 0.5000
0.0000 0.5000 0.5000
0.5000 0.0000 0.5000
0.5000 0.5000 0.0000
```

Energy above the most stable polymorph in this dataset ... 635.2 meV per atom
Total magnetic moment ... 0.0 μB/f.u.
Formation enthalpy at 0 K ... 0.33 eV/atom

=====

[3]
Below is a relaxed Pr2Zn3Cu crystal, with properties calculated at the PBE level.

```
Pr2Zn3Cu
1.0
3.6752 0.0000 0.0000
0.0000 4.5272 0.0000
0.0000 0.0000 7.8722
Pr Zn Cu
2 3 1
direct
0.0000 0.0000 0.0000
0.0000 0.5000 0.4835
0.5000 0.0000 0.6571
0.5000 0.5000 0.1576
0.5000 0.5000 0.8218
0.5000 0.0000 0.3265
```

Total magnetic moment ... 0.0 μB/f.u.
Formation enthalpy at 0 K ... -0.30 eV/atom

=====

[4]
Below is a relaxed BaLi2Si4 crystal, with properties calculated at the PBE level.

```
BaLi2Si4
1.0
-1.9688 2.4005 8.2636
1.9688 -2.4005 8.2636
1.9688 2.4005 -8.2636
Ba Li Si
1 2 4
direct
0.0000 0.0000 0.0000
0.1881 0.6881 0.5000
0.8119 0.3119 0.5000
0.3473 0.8473 0.5000
0.4275 0.4275 0.0000
0.5725 0.5725 0.0000
0.6527 0.1527 0.5000
```

Total magnetic moment ... 0.0 μB/f.u.
E_form (uncorrected) ... -1.26 eV per formula unit

=====

- total magnetic moment of number 3 (Pr2Zn3Cu)?
  0.0 μB/f.u.

=====

- total magnetic moment of number 3 (Pr2Zn3Cu)?
  0.0 μB/f.u.

=====

- Look up the total magnetic moment of the first one.
  0.0 μB/f.u.